Record 1
The following is a PBE calculation of Li2CuBr after structural relaxation, from Alexandria.

Computed properties:
energy: -2.815 eV/atom
ΔE_f (raw): -0.416 eV per atom
energy above the lowest structure with this stoichiometry: 0.0671 eV/atom
mass density: 3.80 g cm⁻³
magnetic moment: 0.00 μB per cell

Unit cell a=7.2458 b=4.5407 c=3.3359 alpha=90.02 beta=62.56 gamma=128.95
Fractional positions:
Li: 0.5000 0.0000 0.5000
Li: 0.0000 0.0000 0.0000
Cu: 0.5000 0.5000 0.0000
Br: 0.0000 0.5000 0.5000

Record 2
The following is a PBE calculation of LiCuBr2 after structural relaxation, from Alexandria.

Computed properties:
energy: -3.168 eV/atom
ΔE_f (raw): -0.829 eV per atom
energy above the lowest structure with this stoichiometry: 0.0584 eV/atom
mass density: 3.69 g cm⁻³
magnetic moment: 0.00 μB per cell

Unit cell a=4.1513 b=4.1513 c=7.1868 alpha=96.34 beta=96.34 gamma=57.46
Fractional positions:
Br: 0.1123 0.1123 0.9511
Br: 0.3877 0.3877 0.5489
Li: 0.7500 0.7500 0.7500
Cu: 0.2500 0.2500 0.2500

Record 3
The following is a PBE calculation of LiCu2Br after structural relaxation, from Alexandria.

Computed properties:
energy: -3.186 eV/atom
ΔE_f (raw): -0.241 eV per atom
energy above the lowest structure with this stoichiometry: 0.0000 eV/atom
mass density: 5.24 g cm⁻³
magnetic moment: 0.00 μB per cell

Unit cell a=3.3113 b=3.3695 c=6.3152 alpha=74.34 beta=90.00 gamma=90.00
Fractional positions:
Cu: 0.5000 0.2018 0.2220
Cu: 0.0000 0.7729 0.0825
Br: 0.5000 0.9707 0.6810
Li: 0.0000 0.5546 0.5146

Record 4
The following is a PBE calculation of LiCuBr2 after structural relaxation, from Alexandria.

Computed properties:
energy: -3.066 eV/atom
ΔE_f (raw): -0.727 eV per atom
energy above the lowest structure with this stoichiometry: 0.1604 eV/atom
mass density: 4.56 g cm⁻³
magnetic moment: 0.00 μB per cell

Unit cell a=3.8370 b=3.8370 c=6.9447 alpha=73.96 beta=73.96 gamma=60.00
Fractional positions:
Li: 0.5005 0.5005 0.4984
Cu: 0.6660 0.6660 0.0021
Br: 0.2561 0.2561 0.2318
Br: 0.0774 0.0774 0.7677

Record 5
The following is a PBE calculation of LiCu2Br after structural relaxation, from Alexandria.

Computed properties:
energy: -2.961 eV/atom
ΔE_f (raw): -0.016 eV per atom
energy above the lowest structure with this stoichiometry: 0.2246 eV/atom
mass density: 5.43 g cm⁻³
magnetic moment: 0.00 μB per cell

Unit cell a=3.5160 b=3.5160 c=5.2911 alpha=90.00 beta=90.00 gamma=90.00
Fractional positions:
Br: 0.5000 0.5000 0.7500
Cu: 0.0000 0.0000 0.0275
Cu: 0.0000 0.0000 0.4725
Li: 0.5000 0.5000 0.2500

Record 6
The following is a PBE calculation of LiCu4Br after structural relaxation, from Alexandria.

Computed properties:
energy: -3.257 eV/atom
ΔE_f (raw): 0.071 eV per atom
mass density: 6.19 g cm⁻³
magnetic moment: 0.00 μB per cell

Unit cell a=5.0565 b=5.0565 c=5.0565 alpha=60.00 beta=60.00 gamma=60.00
Fractional positions:
Cu: 0.3757 0.8728 0.3757
Cu: 0.8728 0.3757 0.3757
Cu: 0.3757 0.3757 0.8728
Cu: 0.3757 0.3757 0.3757
Li: 0.7500 0.7500 0.7500
Br: 0.0000 0.0000 0.0000

Record 7
The following is a PBE calculation of LiCuBr2 after structural relaxation, from Alexandria.

Computed properties:
energy: -3.053 eV/atom
ΔE_f (raw): -0.714 eV per atom
energy above the lowest structure with this stoichiometry: 0.1733 eV/atom
mass density: 3.69 g cm⁻³
magnetic moment: 0.00 μB per cell

Unit cell a=3.6351 b=4.4133 c=7.5694 alpha=121.35 beta=90.00 gamma=90.00
Fractional positions:
Li: 0.5000 0.7500 0.7500
Br: 0.0000 0.2946 0.4993
Br: 0.0000 0.2054 0.0007
Cu: 0.5000 0.2500 0.2500

Record 8
The following is a PBE calculation of Li2CuBr after structural relaxation, from Alexandria.

Computed properties:
energy: -2.796 eV/atom
ΔE_f (raw): -0.397 eV per atom
energy above the lowest structure with this stoichiometry: 0.0855 eV/atom
mass density: 2.86 g cm⁻³
magnetic moment: 0.00 μB per cell

Unit cell a=6.6526 b=6.6526 c=6.2563 alpha=57.88 beta=57.88 gamma=90.00
Fractional positions:
Br: 0.0000 0.0000 0.0000
Br: 0.7500 0.2500 0.5000
Li: 0.8750 0.8888 0.7500
Li: 0.6388 0.1250 0.2500
Li: 0.3750 0.3612 0.7500
Li: 0.1112 0.6250 0.2500
Cu: 0.2500 0.7500 0.5000
Cu: 0.5000 0.5000 0.0000

Record 9
The following is a PBE calculation of Li2CuBr after structural relaxation, from Alexandria.

Computed properties:
energy: -2.731 eV/atom
ΔE_f (raw): -0.332 eV per atom
energy above the lowest structure with this stoichiometry: 0.1509 eV/atom
mass density: 2.79 g cm⁻³
magnetic moment: 0.00 μB per cell

Unit cell a=5.3489 b=5.3489 c=5.3489 alpha=139.27 beta=98.34 gamma=95.57
Fractional positions:
Li: 0.9929 0.9929 0.0000
Li: 0.5071 0.5071 0.0000
Br: 0.7500 0.2500 0.5000
Cu: 0.2500 0.7500 0.5000

Record 10
The following is a PBE calculation of Li4CuBr6 after structural relaxation, from Alexandria.

Computed properties:
energy: -3.131 eV/atom
ΔE_f (raw): -1.151 eV per atom
mass density: 3.14 g cm⁻³
magnetic moment: 1.96 μB per cell

Unit cell a=7.7831 b=7.3002 c=13.4442 alpha=70.83 beta=73.17 gamma=57.79
Each line ends with the local moment (μB).
Fractional positions:
Cu: 0.7038 0.7796 0.3911  0.42
Cu: 0.1255 0.2796 0.8911  0.42
Br: 0.9252 0.0322 0.6419  0.00
Br: 0.1893 0.3415 0.7030  0.10
Br: 0.5462 0.0379 0.5042  0.10
Br: 0.0389 0.5769 0.4426  0.13
Br: 0.4820 0.6179 0.4415  0.09
Br: 0.4586 0.1179 0.9415  0.09
Br: 0.5600 0.6549 0.7751  0.00
Br: 0.9118 0.5379 0.0042  0.10
Br: 0.9416 0.0769 0.9426  0.13
Br: 0.0099 0.1549 0.2751  0.00
Br: 0.4007 0.5322 0.1419  0.00
Br: 0.7662 0.8415 0.2030  0.10
Li: 0.8585 0.7154 0.6350  0.00
Li: 0.2744 0.9756 0.6625  0.00
Li: 0.2612 0.7347 0.2985  0.00
Li: 0.7056 0.2347 0.7985  0.00
Li: 0.0875 0.4756 0.1625  0.00
Li: 0.7862 0.2197 0.4587  0.00
Li: 0.5355 0.7197 0.9587  0.00
Li: 0.7911 0.2154 0.1350  0.00

Record 11
The following is a PBE calculation of LiCuBr2 after structural relaxation, from Alexandria.

Computed properties:
energy: -3.047 eV/atom
ΔE_f (raw): -0.708 eV per atom
energy above the lowest structure with this stoichiometry: 0.1800 eV/atom
mass density: 3.29 g cm⁻³
magnetic moment: 0.00 μB per cell

Unit cell a=9.1526 b=9.1526 c=9.1526 alpha=157.08 beta=157.08 gamma=32.63
Fractional positions:
Cu: 0.5000 0.5000 0.0000
Li: 0.7500 0.2500 0.5000
Br: 0.2500 0.7500 0.5000
Br: 0.0000 0.0000 0.0000

Record 12
The following is a PBE calculation of LiCu2Br after structural relaxation, from Alexandria.

Computed properties:
energy: -3.169 eV/atom
ΔE_f (raw): -0.224 eV per atom
energy above the lowest structure with this stoichiometry: 0.0164 eV/atom
mass density: 4.96 g cm⁻³
magnetic moment: 0.00 μB per cell

Unit cell a=3.3617 b=3.3606 c=6.3397 alpha=90.00 beta=90.00 gamma=90.00
Fractional positions:
Br: 0.5000 0.5000 0.6515
Cu: 0.5000 0.5000 0.2282
Cu: 0.0000 0.0000 0.1044
Li: 0.0000 0.0000 0.5159

Please write out number 10 again, unchanged.
The following is a PBE calculation of Li4CuBr6 after structural relaxation, from Alexandria.

Computed properties:
energy: -3.131 eV/atom
ΔE_f (raw): -1.151 eV per atom
mass density: 3.14 g cm⁻³
magnetic moment: 1.96 μB per cell

Unit cell a=7.7831 b=7.3002 c=13.4442 alpha=70.83 beta=73.17 gamma=57.79
Each line ends with the local moment (μB).
Fractional positions:
Cu: 0.7038 0.7796 0.3911  0.42
Cu: 0.1255 0.2796 0.8911  0.42
Br: 0.9252 0.0322 0.6419  0.00
Br: 0.1893 0.3415 0.7030  0.10
Br: 0.5462 0.0379 0.5042  0.10
Br: 0.0389 0.5769 0.4426  0.13
Br: 0.4820 0.6179 0.4415  0.09
Br: 0.4586 0.1179 0.9415  0.09
Br: 0.5600 0.6549 0.7751  0.00
Br: 0.9118 0.5379 0.0042  0.10
Br: 0.9416 0.0769 0.9426  0.13
Br: 0.0099 0.1549 0.2751  0.00
Br: 0.4007 0.5322 0.1419  0.00
Br: 0.7662 0.8415 0.2030  0.10
Li: 0.8585 0.7154 0.6350  0.00
Li: 0.2744 0.9756 0.6625  0.00
Li: 0.2612 0.7347 0.2985  0.00
Li: 0.7056 0.2347 0.7985  0.00
Li: 0.0875 0.4756 0.1625  0.00
Li: 0.7862 0.2197 0.4587  0.00
Li: 0.5355 0.7197 0.9587  0.00
Li: 0.7911 0.2154 0.1350  0.00

Look up the mass density of the tenth one. 3.14 g cm⁻³

magnetic moment of number 11 (LiCuBr2)? 0.00 μB per cell